1.
! PBE KSi2Te, optimized geometry; values from VASP
! Space group ... R-3m
! E_form (uncorrected) ... 0.47 eV/atom
&SYSTEM
  ibrav = 0, nat = 4, ntyp = 3
/
ATOMIC_SPECIES
K 39.10 K.upf
Si 28.09 Si.upf
Te 127.60 Te.upf
CELL_PARAMETERS angstrom
1.923 1.110 8.771
-1.923 1.110 8.771
0.000 -2.221 8.771
ATOMIC_POSITIONS crystal
K 0.000 0.000 0.000
Si 0.231 0.231 0.231
Si 0.769 0.769 0.769
Te 0.500 0.500 0.500


2.
! PBE KSi2Te, optimized geometry; values from VASP
! Space group ... C2/m
! E_form (uncorrected) ... 0.12 eV/atom
&SYSTEM
  ibrav = 0, nat = 4, ntyp = 3
/
ATOMIC_SPECIES
K 39.10 K.upf
Si 28.09 Si.upf
Te 127.60 Te.upf
CELL_PARAMETERS angstrom
5.134 -1.842 0.000
5.134 1.842 0.000
-1.350 0.000 6.063
ATOMIC_POSITIONS crystal
K 0.000 0.000 0.000
Si 0.245 0.245 0.629
Si 0.755 0.755 0.371
Te 0.500 0.500 0.500


N(E_F), respectively: 1.2869 0.5855 states/eV/atom.